No. 1
# PBE Y2Te, relaxed
# uncorrected formation energy: -0.508 eV per atom
data_Y2Te
_space_group_name_H-M_alt 'P -3 m 1'
_space_group_IT_number 164
_space_group_name_Hall '-P 3 2"'
_cell_length_a 5.1468
_cell_length_b 5.1468
_cell_length_c 4.0187
_cell_angle_alpha 90.00
_cell_angle_beta 90.00
_cell_angle_gamma 120.00
loop_
_atom_site_label
_atom_site_fract_x
_atom_site_fract_y
_atom_site_fract_z
Y1 0.3333 0.6667 0.2424
Te1 0.0000 0.0000 0.0000


No. 2
# PBE Y2Te, relaxed
# uncorrected formation energy: -0.806 eV per atom
data_Y2Te
_space_group_name_H-M_alt 'C 1 m 1'
_space_group_IT_number 8
_space_group_name_Hall 'C -2y'
_cell_length_a 11.686
_cell_length_b 3.877
_cell_length_c 7.814
_cell_angle_alpha 90.00
_cell_angle_beta 96.98
_cell_angle_gamma 90.00
loop_
_atom_site_label
_atom_site_fract_x
_atom_site_fract_y
_atom_site_fract_z
Y1 0.000 0.000 0.000
Y2 0.063 0.000 0.570
Y3 0.229 0.500 0.910
Y4 0.339 0.000 0.279
Te1 0.124 0.500 0.282
Te2 0.363 0.000 0.680


No. 3
# PBE Y2Te, relaxed
# uncorrected formation energy: -0.560 eV per atom
data_Y2Te
_space_group_name_H-M_alt 'P 4/m m m'
_space_group_IT_number 123
_space_group_name_Hall '-P 4 2'
_cell_length_a 4.841
_cell_length_b 4.841
_cell_length_c 4.090
_cell_angle_alpha 90.00
_cell_angle_beta 90.00
_cell_angle_gamma 90.00
loop_
_atom_site_label
_atom_site_fract_x
_atom_site_fract_y
_atom_site_fract_z
Y1 0.000 0.500 0.000
Te1 0.000 0.000 0.500


No. 4
# PBE Y3Te, relaxed
# uncorrected formation energy: -0.545 eV per atom
# energy relative to the lowest polymorph listed for this composition: 141 meV/atom
data_Y3Te
_space_group_name_H-M_alt 'I m m 2'
_space_group_IT_number 44
_space_group_name_Hall 'I 2 -2'
_cell_length_a 3.807
_cell_length_b 10.393
_cell_length_c 6.077
_cell_angle_alpha 90.00
_cell_angle_beta 90.00
_cell_angle_gamma 90.00
loop_
_atom_site_label
_atom_site_fract_x
_atom_site_fract_y
_atom_site_fract_z
Y1 0.000 0.000 0.000
Y2 0.000 0.219 0.603
Te1 0.000 0.500 0.906


No. 5
# PBE Y2Te, relaxed
# uncorrected formation energy: -0.797 eV per atom
data_Y2Te
_space_group_name_H-M_alt 'I 4/m c m'
_space_group_IT_number 140
_space_group_name_Hall '-I 4 2c'
_cell_length_a 7.133
_cell_length_b 7.133
_cell_length_c 7.029
_cell_angle_alpha 90.00
_cell_angle_beta 90.00
_cell_angle_gamma 90.00
loop_
_atom_site_label
_atom_site_fract_x
_atom_site_fract_y
_atom_site_fract_z
Y1 0.166 0.334 0.000
Te1 0.000 0.000 0.250


No. 6
# PBE YTe5, relaxed
# uncorrected formation energy: 0.004 eV per atom
data_YTe5
_space_group_name_H-M_alt 'P 6/m m m'
_space_group_IT_number 191
_space_group_name_Hall '-P 6 2'
_cell_length_a 5.8084
_cell_length_b 5.8084
_cell_length_c 7.6228
_cell_angle_alpha 90.00
_cell_angle_beta 90.00
_cell_angle_gamma 120.00
loop_
_atom_site_label
_atom_site_fract_x
_atom_site_fract_y
_atom_site_fract_z
Y1 0.0000 0.0000 0.0000
Te1 0.0000 0.5000 0.5000
Te2 0.3333 0.6667 0.0000


What did the second record say?
# PBE Y2Te, relaxed
# uncorrected formation energy: -0.806 eV per atom
data_Y2Te
_space_group_name_H-M_alt 'C 1 m 1'
_space_group_IT_number 8
_space_group_name_Hall 'C -2y'
_cell_length_a 11.686
_cell_length_b 3.877
_cell_length_c 7.814
_cell_angle_alpha 90.00
_cell_angle_beta 96.98
_cell_angle_gamma 90.00
loop_
_atom_site_label
_atom_site_fract_x
_atom_site_fract_y
_atom_site_fract_z
Y1 0.000 0.000 0.000
Y2 0.063 0.000 0.570
Y3 0.229 0.500 0.910
Y4 0.339 0.000 0.279
Te1 0.124 0.500 0.282
Te2 0.363 0.000 0.680


Copy entry 4 word for word.
# PBE Y3Te, relaxed
# uncorrected formation energy: -0.545 eV per atom
# energy relative to the lowest polymorph listed for this composition: 141 meV/atom
data_Y3Te
_space_group_name_H-M_alt 'I m m 2'
_space_group_IT_number 44
_space_group_name_Hall 'I 2 -2'
_cell_length_a 3.807
_cell_length_b 10.393
_cell_length_c 6.077
_cell_angle_alpha 90.00
_cell_angle_beta 90.00
_cell_angle_gamma 90.00
loop_
_atom_site_label
_atom_site_fract_x
_atom_site_fract_y
_atom_site_fract_z
Y1 0.000 0.000 0.000
Y2 0.000 0.219 0.603
Te1 0.000 0.500 0.906